[1]
Crystalline Li3Pm2HfSe6 at its relaxed geometry. Source: Alexandria, functional PBE.

The value obtained for the electronic total energy is -5.363 eV per atom. As for the theoretical density: 5.80 Mg/m³. As for the crystal system: monoclinic. The value obtained for the formation energy (no corrections) is -1.52 eV/atom.

Lattice parameters (Å, degrees): 6.9846 12.1086 6.9258 90.00 109.65 90.00
Closest atoms and distances in Å follow each position.
Space group C2/m (No. 12)
Inequivalent atoms, fractional coordinates:
Li 0.0000 0.0000 0.0000 (multiplicity 2)  6 Se 2.75-2.96
Li 0.0000 0.3384 0.0000 (multiplicity 4)  6 Se 2.73-3.00
Pm 0.0000 0.1675 0.5000 (multiplicity 4)  6 Se 2.93-2.94
Hf 0.0000 0.5000 0.5000 (multiplicity 2)  6 Se 2.72-2.74
Se 0.2270 0.5000 0.2481 (multiplicity 4)  1 Hf 2.72, 3 Li 2.73-2.96, 2 Pm 2.93
Se 0.2412 0.3450 0.7574 (multiplicity 8)  1 Hf 2.74, 3 Li 2.75-3.00, 2 Pm 2.94

[2]
Crystalline Ni3MoRh4 at its relaxed geometry. Source: Alexandria, functional PBE.

The formation energy comes out at 6 meV/atom. The value obtained for the electronic total energy is -7.191 eV per atom. As for the theoretical density: 10.70 Mg/m³. As for the crystal system: monoclinic.

Lattice parameters (Å, degrees): 17.3338 2.6962 4.5561 90.00 94.66 90.00
Closest atoms and distances in Å follow each position.
Space group C2/m (No. 12)
Inequivalent atoms, fractional coordinates:
Ni 0.0000 0.0000 0.0000 (multiplicity 2)  4 Ni 2.59-2.70, 4 Rh 2.60, 4 Mo 2.65
Ni 0.1225 0.0000 0.3666 (multiplicity 4)  3 Ni 2.59-2.70, 2 Mo 2.63, 7 Rh 2.64-2.71
Mo 0.0000 0.5000 0.5000 (multiplicity 2)  2 Rh 2.57, 8 Ni 2.63-2.65, 2 Mo 2.70
Rh 0.1204 0.5000 0.8668 (multiplicity 4)  1 Mo 2.57, 6 Ni 2.60-2.65, 5 Rh 2.68-2.77
Rh 0.2474 0.0000 0.7467 (multiplicity 4)  9 Rh 2.63-2.77, 3 Ni 2.66-2.71

[3]
Crystalline TlSbRu2 at its relaxed geometry. Source: Alexandria, functional PBE.

The value obtained for the electronic total energy is -5.901 eV per atom. As for the theoretical density: 11.42 Mg/m³. As for the crystal system: orthorhombic. The value obtained for the formation energy (no corrections) is 0.36 eV/atom.

Lattice parameters (Å, degrees): 3.2317 4.0191 11.8316 90.00 90.00 90.00
Closest atoms and distances in Å follow each position.
Space group Imm2 (No. 44)
Inequivalent atoms, fractional coordinates:
Tl 0.0000 0.0000 0.0000 (multiplicity 2)  6 Ru 2.75-2.88
Sb 0.0000 0.5000 0.2527 (multiplicity 2)  6 Ru 2.60-2.72
Ru 0.0000 0.0000 0.5800 (multiplicity 2)  2 Sb 2.60, 4 Tl 2.75
Ru 0.0000 0.5000 0.8256 (multiplicity 2)  4 Sb 2.72, 2 Tl 2.88